Material: Hf2SnC
Method: DFT, PBE
State: optimized geometry

The value obtained for the energy above the most stable polymorph in this dataset is 1594 meV/atom. As for the formation energy: 815 meV per atom. The value obtained for the volume is 72.1 Å³/cell.

a = 4.672 Å, b = 4.672 Å, c = 4.672 Å
α = 60.00°, β = 60.00°, γ = 60.00°
Positions (direct):
Hf  0.250  0.250  0.250
Hf  0.750  0.750  0.750
Sn  0.000  0.000  0.000
C  0.500  0.500  0.500

Material: Hf3SnC
Method: DFT, PBE
State: optimized geometry

As for the formation energy: -529 meV per atom. The value obtained for the volume is 192.6 Å³/cell.

a = 7.266 Å, b = 3.362 Å, c = 8.349 Å
α = 90.00°, β = 109.24°, γ = 90.00°
Positions (direct):
Hf  0.025  0.250  0.354
Hf  0.315  0.250  0.917
Hf  0.386  0.750  0.616
Hf  0.614  0.250  0.384
Hf  0.685  0.750  0.083
Hf  0.975  0.750  0.646
Sn  0.257  0.750  0.196
Sn  0.743  0.250  0.804
C  0.184  0.250  0.633
C  0.816  0.750  0.367

Material: Hf2SnC
Method: DFT, PBE
State: optimized geometry

The value obtained for the energy above the most stable polymorph in this dataset is 394 meV/atom. As for the formation energy: -385 meV per atom. The value obtained for the volume is 71.5 Å³/cell.

a = 3.295 Å, b = 3.295 Å, c = 7.599 Å
α = 90.00°, β = 90.00°, γ = 120.00°
Positions (direct):
Hf  0.000  0.000  0.181
Hf  0.000  0.000  0.819
Sn  0.667  0.333  0.500
C  0.333  0.667  0.000

Material: Hf5Sn2C
Method: DFT, PBE
State: optimized geometry

As for the formation energy: 74 meV per atom. The value obtained for the volume is 386.0 Å³/cell.

a = 8.114 Å, b = 8.114 Å, c = 11.435 Å
α = 90.00°, β = 90.00°, γ = 149.15°
Positions (direct):
Hf  0.117  0.883  0.614
Hf  0.117  0.883  0.886
Hf  0.267  0.733  0.250
Hf  0.302  0.698  0.567
Hf  0.302  0.698  0.933
Hf  0.698  0.302  0.067
Hf  0.698  0.302  0.433
Hf  0.733  0.267  0.750
Hf  0.883  0.117  0.114
Hf  0.883  0.117  0.386
Sn  0.074  0.926  0.131
Sn  0.074  0.926  0.369
Sn  0.926  0.074  0.631
Sn  0.926  0.074  0.869
C  0.220  0.780  0.750
C  0.780  0.220  0.250

Material: Hf2SnC
Method: DFT, PBE
State: optimized geometry

The value obtained for the energy above the most stable polymorph in this dataset is 65 meV/atom. As for the formation energy: -714 meV per atom. The value obtained for the volume is 71.1 Å³/cell.

a = 7.562 Å, b = 7.562 Å, c = 7.562 Å
α = 25.60°, β = 25.60°, γ = 25.60°
Positions (direct):
Hf  0.222  0.222  0.222
Hf  0.778  0.778  0.778
Sn  0.000  0.000  0.000
C  0.500  0.500  0.500

Material: Hf2SnC
Method: DFT, PBE
State: optimized geometry

The value obtained for the energy above the most stable polymorph in this dataset is 351 meV/atom. As for the formation energy: -427 meV per atom. The value obtained for the volume is 284.0 Å³/cell.

a = 6.145 Å, b = 4.520 Å, c = 10.225 Å
α = 90.00°, β = 90.00°, γ = 90.00°
Positions (direct):
Hf  0.090  0.250  0.232
Hf  0.154  0.250  0.549
Hf  0.346  0.750  0.049
Hf  0.410  0.750  0.732
Hf  0.590  0.250  0.268
Hf  0.654  0.250  0.951
Hf  0.846  0.750  0.451
Hf  0.910  0.750  0.768
Sn  0.161  0.250  0.874
Sn  0.339  0.750  0.374
Sn  0.661  0.250  0.626
Sn  0.839  0.750  0.126
C  0.132  0.750  0.586
C  0.368  0.250  0.086
C  0.632  0.750  0.914
C  0.868  0.250  0.414

Material: Hf6SnC2
Method: DFT, PBE
State: optimized geometry

As for the formation energy: -172 meV per atom. The value obtained for the volume is 176.3 Å³/cell.

a = 6.059 Å, b = 6.059 Å, c = 8.049 Å
α = 117.76°, β = 117.76°, γ = 43.61°
Positions (direct):
Hf  0.028  0.028  0.186
Hf  0.306  0.306  0.916
Hf  0.326  0.326  0.442
Hf  0.674  0.674  0.558
Hf  0.694  0.694  0.084
Hf  0.972  0.972  0.814
Sn  0.000  0.000  0.500
C  0.185  0.185  0.084
C  0.815  0.815  0.916

Material: Hf2SnC
Method: DFT, PBE
State: optimized geometry

The value obtained for the energy above the most stable polymorph in this dataset is 18 meV/atom. As for the formation energy: -761 meV per atom. The value obtained for the volume is 70.3 Å³/cell.

a = 7.610 Å, b = 7.610 Å, c = 7.610 Å
α = 25.19°, β = 25.19°, γ = 25.19°
Positions (direct):
Hf  0.000  0.000  0.000
Hf  0.221  0.221  0.221
Sn  0.778  0.778  0.778
C  0.610  0.610  0.610

Material: Hf8SnC2
Method: DFT, PBE
State: optimized geometry

As for the formation energy: 4 meV per atom. The value obtained for the volume is 206.9 Å³/cell.

a = 8.129 Å, b = 8.129 Å, c = 8.129 Å
α = 144.32°, β = 138.28°, γ = 56.03°
Positions (direct):
Hf  0.116  0.116  0.000
Hf  0.160  0.397  0.763
Hf  0.276  0.776  0.500
Hf  0.365  0.603  0.763
Hf  0.635  0.397  0.237
Hf  0.724  0.224  0.500
Hf  0.840  0.603  0.237
Hf  0.884  0.884  0.000
Sn  0.500  0.000  0.500
C  0.270  0.270  0.000
C  0.730  0.730  0.000

Material: Hf2SnC
Method: DFT, PBE
State: optimized geometry

The value obtained for the energy above the most stable polymorph in this dataset is 0 meV/atom. As for the formation energy: -779 meV per atom. The value obtained for the volume is 140.4 Å³/cell.

a = 3.328 Å, b = 3.328 Å, c = 14.632 Å
α = 90.00°, β = 90.00°, γ = 120.00°
Positions (direct):
Hf  0.333  0.667  0.084
Hf  0.333  0.667  0.416
Hf  0.667  0.333  0.584
Hf  0.667  0.333  0.916
Sn  0.333  0.667  0.750
Sn  0.667  0.333  0.250
C  0.000  0.000  0.000
C  0.000  0.000  0.500

Material: HfSnC3
Method: DFT, PBE
State: optimized geometry

The value obtained for the energy above the most stable polymorph in this dataset is 0 meV/atom. As for the formation energy: 1809 meV per atom. The value obtained for the volume is 81.8 Å³/cell.

a = 4.341 Å, b = 4.341 Å, c = 4.341 Å
α = 90.00°, β = 90.00°, γ = 90.00°
Positions (direct):
Hf  0.000  0.000  0.000
Sn  0.500  0.500  0.500
C  0.000  0.000  0.500
C  0.000  0.500  0.000
C  0.500  0.000  0.000

Material: HfTi2SnC
Method: DFT, PBE
State: optimized geometry

As for the formation energy: -549 meV per atom. The value obtained for the volume is 81.8 Å³/cell.

a = 4.223 Å, b = 4.223 Å, c = 4.589 Å
α = 90.00°, β = 90.00°, γ = 90.00°
Positions (direct):
Hf  0.000  0.000  0.000
Ti  0.000  0.500  0.500
Ti  0.500  0.000  0.500
Sn  0.500  0.500  0.000
C  0.000  0.000  0.500

Material: SrHfC3
Method: DFT, PBE
State: optimized geometry

The value obtained for the energy above the most stable polymorph in this dataset is 0 meV/atom. As for the formation energy: 1061 meV per atom. The value obtained for the volume is 83.0 Å³/cell.

a = 4.362 Å, b = 4.362 Å, c = 4.362 Å
α = 90.00°, β = 90.00°, γ = 90.00°
Positions (direct):
Sr  0.000  0.000  0.000
Hf  0.500  0.500  0.500
C  0.000  0.500  0.500
C  0.500  0.000  0.500
C  0.500  0.500  0.000

Material: SrHfC3
Method: DFT, PBE
State: optimized geometry

The value obtained for the energy above the most stable polymorph in this dataset is 1879 meV/atom. As for the formation energy: 2939 meV per atom. The value obtained for the volume is 77.4 Å³/cell.

a = 4.261 Å, b = 4.261 Å, c = 4.261 Å
α = 90.00°, β = 90.00°, γ = 90.00°
Positions (direct):
Sr  0.000  0.000  0.000
Hf  0.500  0.500  0.500
C  0.000  0.000  0.500
C  0.000  0.500  0.000
C  0.500  0.000  0.000

Material: SrHf3C
Method: DFT, PBE
State: optimized geometry

The value obtained for the energy above the most stable polymorph in this dataset is 3143 meV/atom. As for the formation energy: 3385 meV per atom. The value obtained for the volume is 131.6 Å³/cell.

a = 5.087 Å, b = 5.087 Å, c = 5.087 Å
α = 90.00°, β = 90.00°, γ = 90.00°
Positions (direct):
Sr  0.000  0.000  0.000
Hf  0.000  0.000  0.500
Hf  0.000  0.500  0.000
Hf  0.500  0.000  0.000
C  0.500  0.500  0.500

Material: SrHfC2
Method: DFT, PBE
State: optimized geometry

The value obtained for the energy above the most stable polymorph in this dataset is 0 meV/atom. As for the formation energy: 550 meV per atom. The value obtained for the volume is 168.4 Å³/cell.

a = 6.782 Å, b = 6.782 Å, c = 6.782 Å
α = 132.10°, β = 132.10°, γ = 70.07°
Positions (direct):
Sr  0.000  0.000  0.000
Sr  0.750  0.250  0.500
Hf  0.250  0.750  0.500
Hf  0.500  0.500  0.000
C  0.213  0.625  0.088
C  0.375  0.463  0.588
C  0.537  0.125  0.912
C  0.875  0.787  0.412

Material: Sr3HfC
Method: DFT, PBE
State: optimized geometry

The value obtained for the energy above the most stable polymorph in this dataset is 1222 meV/atom. As for the formation energy: 2164 meV per atom. The value obtained for the volume is 267.5 Å³/cell.

a = 6.444 Å, b = 6.444 Å, c = 6.444 Å
α = 90.00°, β = 90.00°, γ = 90.00°
Positions (direct):
Sr  0.000  0.000  0.500
Sr  0.000  0.500  0.000
Sr  0.500  0.000  0.000
Hf  0.000  0.000  0.000
C  0.500  0.500  0.500

Material: SrHfC2
Method: DFT, PBE
State: optimized geometry

The value obtained for the energy above the most stable polymorph in this dataset is 638 meV/atom. As for the formation energy: 1189 meV per atom. The value obtained for the volume is 58.4 Å³/cell.

a = 4.355 Å, b = 4.355 Å, c = 4.355 Å
α = 60.00°, β = 60.00°, γ = 60.00°
Positions (direct):
Sr  0.000  0.000  0.000
Hf  0.500  0.500  0.500
C  0.250  0.250  0.250
C  0.750  0.750  0.750

Material: Sr2HfC
Method: DFT, PBE
State: optimized geometry

As for the formation energy: 481 meV per atom. The value obtained for the volume is 256.4 Å³/cell.

a = 7.984 Å, b = 7.984 Å, c = 7.984 Å
α = 94.24°, β = 94.24°, γ = 148.43°
Positions (direct):
Sr  0.375  0.205  0.330
Sr  0.795  0.125  0.170
Sr  0.875  0.045  0.670
Sr  0.955  0.625  0.830
Hf  0.250  0.750  0.500
Hf  0.500  0.500  0.000
C  0.000  0.000  0.000
C  0.750  0.250  0.500

Material: Sr3HfC
Method: DFT, PBE
State: optimized geometry

The value obtained for the energy above the most stable polymorph in this dataset is 0 meV/atom. As for the formation energy: 942 meV per atom. The value obtained for the volume is 162.0 Å³/cell.

a = 5.452 Å, b = 5.452 Å, c = 5.452 Å
α = 90.00°, β = 90.00°, γ = 90.00°
Positions (direct):
Sr  0.000  0.000  0.500
Sr  0.000  0.500  0.000
Sr  0.500  0.000  0.000
Hf  0.500  0.500  0.500
C  0.000  0.000  0.000